No. 1
The following is a PBE calculation of an optimized crystal structure of Tb8Al2Sb, from Alexandria.

POSCAR file:
```
Tb8Al2Sb
1.0
9.691 -2.500 0.000
9.691 2.500 0.000
-1.637 0.000 6.643
Tb Al Sb
8 2 1
Cartesian
0.157 0.000 1.745
2.830 0.000 5.393
5.742 0.000 3.480
7.780 0.000 0.242
9.964 0.000 6.401
12.002 0.000 3.163
14.914 0.000 1.250
17.587 0.000 4.898
3.218 0.000 1.653
14.527 0.000 4.990
8.872 0.000 3.322
```

Computed properties:
mass density	7.46	Mg/m³
Fermi-level density of states	11.47	states/eV/f.u.
E_tot	-4.7137	eV/atom
formation energy without anion corrections	-291	meV/atom



No. 2
The following is a PBE calculation of an optimized crystal structure of TbAlSb, from Alexandria.

POSCAR file:
```
TbAlSb
1.0
6.227 0.000 0.000
-3.114 5.393 0.000
0.000 0.000 14.642
Tb Al Sb
6 6 6
Cartesian
-1.557 2.696 5.315
-1.557 2.696 14.207
3.114 0.000 4.446
3.114 0.000 10.196
1.557 2.696 0.435
1.557 2.696 9.327
-0.460 3.330 2.440
0.460 3.330 12.202
0.000 4.126 7.321
3.114 1.267 7.321
2.654 2.063 12.202
3.573 2.063 2.440
0.000 0.000 2.440
0.000 0.000 7.321
0.000 0.000 12.202
-1.557 2.696 9.761
3.114 0.000 0.000
1.557 2.696 4.881
```

Computed properties:
mass density	6.23	Mg/m³
Fermi-level density of states	2.26	states/eV/f.u.
E_tot	-4.2151	eV/atom
formation energy without anion corrections	-50	meV/atom



No. 3
The following is a PBE calculation of an optimized crystal structure of Al2Tc2Sb, from Alexandria.

POSCAR file:
```
Al2Tc2Sb
1.0
7.091 0.000 0.000
0.000 7.091 0.000
0.000 0.000 3.241
Al Tc Sb
4 4 2
Cartesian
0.898 2.648 0.000
2.648 6.193 0.000
4.443 0.898 0.000
6.193 4.443 0.000
1.180 4.725 1.621
2.365 1.180 1.621
4.725 5.911 1.621
5.911 2.365 1.621
0.000 0.000 0.000
3.545 3.545 0.000
```

Computed properties:
mass density	7.58	Mg/m³
Fermi-level density of states	5.62	states/eV/f.u.
E_tot	-6.3739	eV/atom
formation energy without anion corrections	94	meV/atom



- The highest mass density belongs to which entry?
  Al2Tc2Sb



- Among the records above, which one has the highest Fermi-level density of states?
  Tb8Al2Sb



- Which of these has the lowest formation energy without anion corrections?
  Tb8Al2Sb



- Number 1 is which compound?
  Tb8Al2Sb